Record 1
HfHF2: single point on PBEsol structure, meta-GGA SCAN.

abc: 5.2719 5.2719 5.2719
angles: 90.00 90.00 90.00
Space group Fm-3m (No. 225)
Asymmetric unit:
Hf 0.0000 0.0000 0.0000
H 0.0000 0.0000 0.5000
F 0.2500 0.2500 0.2500

excess energy over the best structure of this formula in the dataset	217.2	meV/atom
size of the total moment	4.00	μB per cell

Record 2
Y2Zr: single point on PBEsol structure, meta-GGA SCAN.

abc: 12.3838 3.4063 8.0422
angles: 90.00 103.66 90.00
Space group Cm (No. 8)
Asymmetric unit:
Y 0.0000 0.0000 0.0000
Y 0.0519 0.0000 0.6088
Y 0.1669 0.5000 0.3235
Y 0.3248 0.0000 0.6661
Zr 0.2286 0.5000 0.9554
Zr 0.3791 0.0000 0.2608

excess energy over the best structure of this formula in the dataset	5.7	meV/atom
calculated formation energy	0.1106	eV per atom
size of the total moment	0.00	μB per cell

Record 3
Li2Ca2In: single point on PBEsol structure, meta-GGA SCAN.

abc: 7.6205 7.6205 4.4645
angles: 90.00 90.00 90.00
Space group P4/mbm (No. 127)
Asymmetric unit:
Li 0.1244 0.3756 0.0000
Ca 0.1902 0.6902 0.5000
In 0.0000 0.0000 0.0000

calculated formation energy	-0.2002	eV per atom
size of the total moment	0.00	μB per cell

Record 4
BaZr3: single point on PBEsol structure, meta-GGA SCAN.

abc: 3.2853 3.2853 33.5850
angles: 90.00 90.00 120.00
Space group R-3m (No. 166, hexagonal axes)
Asymmetric unit:
Ba 0.0000 0.0000 0.0000
Zr 0.0000 0.0000 0.2397
Zr 0.0000 0.0000 0.5000

excess energy over the best structure of this formula in the dataset	5.8	meV/atom
calculated formation energy	0.4173	eV per atom
size of the total moment	0.00	μB per cell

Record 5
BeCI2: single point on PBEsol structure, meta-GGA SCAN.

abc: 6.6832 6.6832 6.6832
angles: 90.00 90.00 90.00
Space group Fm-3m (No. 225)
Asymmetric unit:
Be 0.0000 0.0000 0.0000
C 0.0000 0.0000 0.5000
I 0.2500 0.2500 0.2500

raw formation energy	207.75	kJ/mol of atoms
size of the total moment	5.77	μB per cell

Record 6
BaY2Au: single point on PBEsol structure, meta-GGA SCAN.

abc: 3.6488 5.7660 11.9637
angles: 90.00 90.00 90.00
Space group Immm (No. 71)
Asymmetric unit:
Ba 0.0000 0.0000 0.0000
Y 0.0000 0.5000 0.1965
Au 0.0000 0.0000 0.5000

excess energy over the best structure of this formula in the dataset	0.0	meV/atom
calculated formation energy	-0.4173	eV per atom
size of the total moment	0.00	μB per cell